[1]
# Li3Bi3P8O29

A PBEsol-optimized structure of Li3Bi3P8O29 (meta-GGA SCAN, Alexandria).

Cell lengths 9.888, 9.888, 14.625 Å; angles 91.45, 91.45, 59.53 degrees
Atoms (fractional coordinates):
Li 0.000 0.000 0.000
Li 0.000 0.000 0.500
Li 0.081 0.680 0.954
Li 0.320 0.919 0.546
Li 0.680 0.081 0.454
Li 0.919 0.320 0.046
Bi 0.017 0.421 0.275
Bi 0.421 0.017 0.775
Bi 0.452 0.548 0.250
Bi 0.548 0.452 0.750
Bi 0.579 0.983 0.225
Bi 0.983 0.579 0.725
P 0.069 0.211 0.656
P 0.087 0.676 0.158
P 0.203 0.728 0.652
P 0.211 0.069 0.156
P 0.272 0.797 0.848
P 0.307 0.374 0.858
P 0.324 0.913 0.342
P 0.374 0.307 0.358
P 0.626 0.693 0.642
P 0.676 0.087 0.658
P 0.693 0.626 0.142
P 0.728 0.203 0.152
P 0.789 0.931 0.844
P 0.797 0.272 0.348
P 0.913 0.324 0.842
P 0.931 0.789 0.344
O 0.002 0.785 0.246
O 0.006 0.835 0.417
O 0.007 0.761 0.073
O 0.053 0.373 0.641
O 0.065 0.696 0.642
O 0.080 0.246 0.165
O 0.089 0.520 0.169
O 0.161 0.813 0.921
O 0.165 0.994 0.083
O 0.187 0.839 0.579
O 0.189 0.811 0.750
O 0.215 0.998 0.254
O 0.220 0.470 0.770
O 0.221 0.293 0.359
O 0.239 0.993 0.427
O 0.240 0.463 0.944
O 0.246 0.080 0.665
O 0.257 0.649 0.159
O 0.293 0.221 0.859
O 0.304 0.935 0.858
O 0.317 0.481 0.334
O 0.351 0.743 0.341
O 0.367 0.576 0.649
O 0.373 0.053 0.141
O 0.424 0.633 0.851
O 0.463 0.240 0.444
O 0.470 0.220 0.270
O 0.480 0.911 0.331
O 0.481 0.317 0.834
O 0.519 0.683 0.166
O 0.520 0.089 0.669
O 0.530 0.780 0.730
O 0.537 0.760 0.556
O 0.576 0.367 0.149
O 0.627 0.947 0.859
O 0.633 0.424 0.351
O 0.649 0.257 0.659
O 0.683 0.519 0.666
O 0.696 0.065 0.142
O 0.707 0.779 0.141
O 0.743 0.351 0.841
O 0.754 0.920 0.335
O 0.760 0.537 0.056
O 0.761 0.007 0.573
O 0.779 0.707 0.641
O 0.780 0.530 0.230
O 0.785 0.002 0.746
O 0.811 0.189 0.250
O 0.813 0.161 0.421
O 0.835 0.006 0.917
O 0.839 0.187 0.079
O 0.911 0.480 0.831
O 0.920 0.754 0.835
O 0.935 0.304 0.358
O 0.947 0.627 0.359
O 0.993 0.239 0.927
O 0.994 0.165 0.583
O 0.998 0.215 0.754

---

[2]
# Li2BiP2O8

A PBEsol-optimized structure of Li2BiP2O8 (meta-GGA SCAN, Alexandria).

Cell lengths 8.396, 8.396, 7.784 Å; angles 90.00, 90.00, 120.00 degrees
Atoms (fractional coordinates):
Li 0.000 0.000 0.000
Li 0.024 0.689 0.834
Li 0.311 0.335 0.834
Li 0.333 0.667 0.081
Li 0.665 0.976 0.834
Li 0.667 0.333 0.972
Bi 0.000 0.000 0.527
Bi 0.333 0.667 0.467
Bi 0.667 0.333 0.404
P 0.016 0.699 0.218
P 0.301 0.317 0.218
P 0.378 0.025 0.712
P 0.646 0.622 0.712
P 0.683 0.984 0.218
P 0.975 0.354 0.712
O 0.044 0.803 0.051
O 0.079 0.826 0.379
O 0.126 0.598 0.228
O 0.174 0.253 0.379
O 0.186 0.444 0.699
O 0.197 0.241 0.051
O 0.248 0.108 0.717
O 0.258 0.814 0.699
O 0.402 0.529 0.228
O 0.445 0.249 0.226
O 0.471 0.874 0.228
O 0.490 0.078 0.537
O 0.511 0.090 0.862
O 0.556 0.742 0.699
O 0.579 0.489 0.862
O 0.588 0.510 0.537
O 0.747 0.921 0.379
O 0.751 0.196 0.226
O 0.759 0.956 0.051
O 0.804 0.555 0.226
O 0.860 0.752 0.717
O 0.892 0.140 0.717
O 0.910 0.421 0.862
O 0.922 0.412 0.537

---

[3]
# LiBiP4O12

A PBEsol-optimized structure of LiBiP4O12 (meta-GGA SCAN, Alexandria).

Cell lengths 10.445, 10.445, 5.121 Å; angles 102.42, 102.42, 70.02 degrees
Atoms (fractional coordinates):
Li 0.000 0.500 0.000
Li 0.500 0.000 0.000
Bi 0.171 0.171 0.749
Bi 0.829 0.829 0.251
P 0.091 0.735 0.802
P 0.217 0.457 0.556
P 0.265 0.909 0.198
P 0.457 0.217 0.556
P 0.543 0.783 0.444
P 0.735 0.091 0.802
P 0.783 0.543 0.444
P 0.909 0.265 0.198
O 0.005 0.294 0.055
O 0.030 0.796 0.546
O 0.139 0.391 0.680
O 0.163 0.837 0.000
O 0.173 0.475 0.268
O 0.204 0.970 0.454
O 0.219 0.600 0.752
O 0.294 0.005 0.055
O 0.379 0.379 0.621
O 0.391 0.139 0.680
O 0.400 0.781 0.248
O 0.475 0.173 0.268
O 0.525 0.827 0.732
O 0.600 0.219 0.752
O 0.609 0.861 0.320
O 0.621 0.621 0.379
O 0.706 0.995 0.945
O 0.781 0.400 0.248
O 0.796 0.030 0.546
O 0.827 0.525 0.732
O 0.837 0.163 0.000
O 0.861 0.609 0.320
O 0.970 0.204 0.454
O 0.995 0.706 0.945

---

[4]
# LiBi2PO6

A PBEsol-optimized structure of LiBi2PO6 (meta-GGA SCAN, Alexandria).

Cell lengths 10.193, 9.475, 5.547 Å; angles 90.00, 90.00, 90.00 degrees
Atoms (fractional coordinates):
Li 0.000 0.128 0.250
Li 0.000 0.872 0.750
Li 0.500 0.372 0.750
Li 0.500 0.628 0.250
Bi 0.250 0.114 0.742
Bi 0.250 0.386 0.242
Bi 0.250 0.614 0.742
Bi 0.250 0.886 0.242
Bi 0.750 0.114 0.758
Bi 0.750 0.386 0.258
Bi 0.750 0.614 0.758
Bi 0.750 0.886 0.258
P 0.000 0.345 0.750
P 0.000 0.655 0.250
P 0.500 0.155 0.250
P 0.500 0.845 0.750
O 0.064 0.251 0.553
O 0.064 0.749 0.053
O 0.108 0.437 0.872
O 0.108 0.563 0.372
O 0.155 0.059 0.074
O 0.155 0.941 0.574
O 0.345 0.441 0.574
O 0.345 0.559 0.074
O 0.392 0.063 0.372
O 0.392 0.937 0.872
O 0.436 0.249 0.053
O 0.436 0.751 0.553
O 0.564 0.249 0.447
O 0.564 0.751 0.947
O 0.608 0.063 0.128
O 0.608 0.937 0.628
O 0.655 0.441 0.926
O 0.655 0.559 0.426
O 0.845 0.059 0.426
O 0.845 0.941 0.926
O 0.892 0.437 0.628
O 0.892 0.563 0.128
O 0.936 0.251 0.947
O 0.936 0.749 0.447

---

[5]
# LiBi2P3O12

A PBEsol-optimized structure of LiBi2P3O12 (meta-GGA SCAN, Alexandria).

Cell lengths 8.580, 8.644, 9.600 Å; angles 116.59, 90.24, 119.62 degrees
Atoms (fractional coordinates):
Li 0.054 0.309 0.114
Li 0.946 0.691 0.886
Bi 0.154 0.801 0.435
Bi 0.354 0.195 0.031
Bi 0.646 0.805 0.969
Bi 0.846 0.199 0.565
P 0.052 0.004 0.235
P 0.258 0.712 0.754
P 0.452 0.689 0.242
P 0.548 0.311 0.758
P 0.742 0.288 0.246
P 0.948 0.996 0.765
O 0.003 0.108 0.385
O 0.131 0.189 0.914
O 0.133 0.506 0.746
O 0.156 0.909 0.249
O 0.166 0.170 0.185
O 0.202 0.857 0.884
O 0.231 0.701 0.593
O 0.247 0.592 0.244
O 0.415 0.133 0.590
O 0.467 0.766 0.119
O 0.473 0.813 0.819
O 0.495 0.475 0.819
O 0.505 0.525 0.181
O 0.527 0.187 0.181
O 0.533 0.234 0.881
O 0.585 0.867 0.410
O 0.753 0.408 0.756
O 0.769 0.299 0.407
O 0.798 0.143 0.116
O 0.834 0.830 0.815
O 0.844 0.091 0.751
O 0.867 0.494 0.254
O 0.869 0.811 0.086
O 0.997 0.892 0.615

---

[6]
# Li3Bi2P3O12

A PBEsol-optimized structure of Li3Bi2P3O12 (meta-GGA SCAN, Alexandria).

Cell lengths 8.666, 8.666, 8.543 Å; angles 114.88, 114.88, 66.47 degrees
Atoms (fractional coordinates):
Li 0.000 0.500 0.500
Li 0.149 0.174 0.094
Li 0.174 0.149 0.594
Li 0.500 0.000 0.000
Li 0.826 0.851 0.406
Li 0.851 0.826 0.906
Bi 0.161 0.627 0.317
Bi 0.373 0.839 0.183
Bi 0.627 0.161 0.817
Bi 0.839 0.373 0.683
P 0.075 0.925 0.750
P 0.240 0.393 0.943
P 0.393 0.240 0.443
P 0.607 0.760 0.557
P 0.760 0.607 0.057
P 0.925 0.075 0.250
O 0.046 0.084 0.691
O 0.082 0.753 0.587
O 0.084 0.046 0.191
O 0.114 0.399 0.749
O 0.147 0.369 0.048
O 0.229 0.401 0.423
O 0.247 0.918 0.913
O 0.292 0.567 0.051
O 0.369 0.147 0.548
O 0.399 0.114 0.249
O 0.401 0.229 0.923
O 0.433 0.708 0.449
O 0.567 0.292 0.551
O 0.599 0.771 0.077
O 0.601 0.886 0.751
O 0.631 0.853 0.452
O 0.708 0.433 0.949
O 0.753 0.082 0.087
O 0.771 0.599 0.577
O 0.853 0.631 0.952
O 0.886 0.601 0.251
O 0.916 0.954 0.809
O 0.918 0.247 0.413
O 0.954 0.916 0.309

The calculation puts the energy above the most stable polymorph in this dataset at 0.345 eV/f.u.

---

| no. | electronic total energy (eV per atom) | raw formation energy (eV per atom) | size of the total moment (μB per formula unit) |
| --- | --- | --- | --- |
| 1 | -13.77 | -1.98 | 0.0 |
| 2 | -14.00 | -2.16 | 0.4 |
| 3 | -13.21 | -2.25 | 0.0 |
| 4 | -22.60 | -1.87 | 0.0 |
| 5 | -16.70 | -1.95 | 0.0 |
| 6 | -15.74 | -2.22 | 0.0 |